Mg2CdCl | meta-GGA SCAN | PBEsol geometry

abc: 6.2492 6.2492 6.2492
angles: 105.81 105.81 117.06
Atoms (fractional coordinates):
Cl (0.5000, 0.5000, 0.0000)
Cl (0.7500, 0.2500, 0.5000)
Cd (0.2500, 0.7500, 0.5000)
Cd (0.0000, 0.0000, 0.0000)
Mg (0.1250, 0.5974, 0.9724)
Mg (0.4026, 0.3750, 0.5276)
Mg (0.6250, 0.1526, 0.0276)
Mg (0.8474, 0.8750, 0.4724)

Output
* DOS at the Fermi energy: 0.283 states/eV per atom
* E_form (uncorrected): -0.405 eV/atom
* crystal system: tetragonal
* offset from the most stable computed form: 103 meV per atom